## NiHg2Os (GGA-PBEsol)

Data for NiHg2Os after structural relaxation.

Computed properties:
E above lowest polymorph = 250 meV/atom
Energy relative to the elements = 0.847 eV/atom
Electronic total energy = -16.1 eV per cell
D(E_F) = 6.19 states/eV/cell

Structure (extended XYZ):
```
4
Lattice="0.000 3.183 3.183 3.183 0.000 3.183 3.183 3.183 0.000" Properties=species:S:1:pos:R:3 pbc="T T T"
Ni 0.000 0.000 0.000
Hg 3.183 3.183 3.183
Hg 4.774 4.774 4.774
Os 1.591 1.591 1.591
```

=====

## NiHgOs (GGA-PBEsol)

Data for NiHgOs after structural relaxation.

Computed properties:
E above lowest polymorph = 0 meV/atom
Energy relative to the elements = 0.447 eV/atom
Electronic total energy = -17.6 eV per cell
D(E_F) = 2.34 states/eV/cell

Structure (extended XYZ):
```
3
Lattice="2.779 0.000 0.000 -1.390 2.407 0.000 0.000 0.000 6.610" Properties=species:S:1:pos:R:3 pbc="T T T"
Ni 0.000 0.000 0.000
Hg 1.390 0.802 2.227
Os 0.000 1.605 4.724
```